Here is crystalline Ba4Se2N at its relaxed geometry from Alexandria. Energies are from GGA-PBE.

Cell: 8.629 8.629 7.749 Å, 116.14 116.14 29.55°
Sites, in units of the cell vectors:
Ba 0.113 0.113 0.321
Ba 0.385 0.385 0.245
Ba 0.615 0.615 0.755
Ba 0.887 0.887 0.679
Se 0.269 0.269 0.765
Se 0.731 0.731 0.235
N 0.000 0.000 0.500

Space-group type: C2/m, No. 12
Crystal system: monoclinic
Formation energy (no corrections): -1.1746 eV/atom
Mass density: 4728 kg/m³
VASP energy: -4.458 eV/atom
Polymorph energy (0 for the lowest one): 0.0 kJ per mole of atoms
Magnetization: 0.9 μB/f.u.